(1)
Density functional theory data (PBE) for a relaxed Ho6Hg3N crystal.

* total DFT energy (no corrections): -4.22 eV per atom
* space-group type: P2_1/c (14)
* E_form (uncorrected): -5.46 eV/f.u.

Cell: 6.498 7.888 11.467 Å, 90.00 119.90 90.00°
Element x y z (fractional)
Ho: 0.073 0.050 0.224
Ho: 0.073 0.450 0.724
Ho: 0.184 0.720 0.065
Ho: 0.184 0.780 0.565
Ho: 0.370 0.145 0.052
Ho: 0.370 0.355 0.552
Ho: 0.630 0.645 0.448
Ho: 0.630 0.855 0.948
Ho: 0.816 0.220 0.435
Ho: 0.816 0.280 0.935
Ho: 0.927 0.550 0.276
Ho: 0.927 0.950 0.776
Hg: 0.316 0.114 0.739
Hg: 0.316 0.386 0.239
Hg: 0.500 0.000 0.500
Hg: 0.500 0.500 0.000
Hg: 0.684 0.614 0.761
Hg: 0.684 0.886 0.261
N: 0.000 0.000 0.000
N: 0.000 0.500 0.500


(2)
Density functional theory data (PBE) for a relaxed Ho3Hg2N crystal.

* total DFT energy (no corrections): -4.60 eV per atom
* space-group type: Cmmm (65)
* E_form (uncorrected): -4.95 eV/f.u.

Cell: 8.131 8.131 3.464 Å, 90.00 90.00 145.37°
Element x y z (fractional)
Ho: 0.000 0.000 0.000
Ho: 0.390 0.610 0.500
Ho: 0.610 0.390 0.500
Hg: 0.196 0.804 0.000
Hg: 0.804 0.196 0.000
N: 0.500 0.500 0.000